*one*
The following is a PBE calculation of an optimized crystal structure of Tb2SI, from the Alexandria database.

Computed properties:
crystal system: trigonal

Cell: 3.9104 3.9104 8.0803 Å, 76.00 76.00 60.00°
Last column: nearest neighbours and their distance in Å.
Fractional positions:
1 S 0.6668 0.6668 0.9996  6 Tb 2.71-2.72
2 Tb 0.0655 0.0655 0.8035  3 S 2.72
3 Tb 0.2687 0.2687 0.1938  3 S 2.71
4 I 0.4990 0.4990 0.5031  6 Tb 3.24-3.30

=====

*two*
The following is a PBE calculation of an optimized crystal structure of Tb2SI, from the Alexandria database.

Computed properties:
crystal system: trigonal

Cell: 4.0580 4.0580 7.7140 Å, 74.75 74.75 60.00°
Last column: nearest neighbours and their distance in Å.
Fractional positions:
1 Tb 0.2734 0.2734 0.1797  3 S 2.69
2 Tb 0.7266 0.7266 0.8203  3 S 2.69
3 S 0.0000 0.0000 0.0000  6 Tb 2.69
4 I 0.5000 0.5000 0.5000  6 Tb 3.32

=====

Most stable structure - *one*; separation to the second - 0.010 eV/atom.

=====

*one*
The following is a PBE calculation of an optimized crystal structure of TcSI3, from the Alexandria database.

Computed properties:
crystal system: cubic

Cell: 5.3539 5.3539 5.3539 Å, 90.00 90.00 90.00°
Last column: nearest neighbours and their distance in Å.
Fractional positions:
1 S 0.5000 0.5000 0.5000  12 I 3.79
2 I 0.5000 0.0000 0.0000  2 Tc 2.68
3 I 0.0000 0.0000 0.5000  2 Tc 2.68
4 I 0.0000 0.5000 0.0000  2 Tc 2.68
5 Tc 0.0000 0.0000 0.0000  6 I 2.68

=====

*two*
The following is a PBE calculation of an optimized crystal structure of TcSI3, from the Alexandria database.

Computed properties:
crystal system: monoclinic

Cell: 7.7682 8.5312 13.3951 Å, 88.88 87.54 62.92°
Last column: nearest neighbours and their distance in Å.
Fractional positions:
1 Tc 0.9103 0.0767 0.6522  2 S 2.36-2.38
2 Tc 0.0130 0.0767 0.8478  2 S 2.36-2.38
3 Tc 0.9870 0.9233 0.1522  2 S 2.36-2.38
4 Tc 0.0897 0.9233 0.3478  2 S 2.36-2.38
5 I 0.2148 0.7940 0.9764  2 Tc 2.80-2.81
6 I 0.2314 0.2291 0.9237  1 Tc 2.79
7 I 0.9912 0.7940 0.5236  2 Tc 2.80-2.81
8 I 0.0088 0.2060 0.4764  2 Tc 2.80-2.81
9 I 0.7852 0.2060 0.0236  2 Tc 2.80-2.81
10 I 0.5395 0.2291 0.5763  1 Tc 2.79
11 I 0.7085 0.1158 0.2925  2 Tc 2.73-2.78
12 I 0.4605 0.7709 0.4237  1 Tc 2.79
13 I 0.1756 0.1158 0.2075  2 Tc 2.73-2.78
14 I 0.7686 0.7709 0.0763  1 Tc 2.79
15 I 0.8244 0.8842 0.7925  2 Tc 2.73-2.78
16 I 0.2915 0.8842 0.7075  2 Tc 2.73-2.78
17 S 0.0217 0.7078 0.2737  1 S 2.01
18 S 0.9783 0.2922 0.7263  1 S 2.01
19 S 0.7295 0.2922 0.7737  1 S 2.01
20 S 0.2705 0.7078 0.2263  1 S 2.01

=====

*three*
The following is a PBE calculation of an optimized crystal structure of TcSI3, from the Alexandria database.

Computed properties:
crystal system: cubic

Cell: 5.5459 5.5459 5.5459 Å, 90.00 90.00 90.00°
Last column: nearest neighbours and their distance in Å.
Fractional positions:
1 I 0.0000 0.0000 0.5000  2 S 2.77
2 I 0.0000 0.5000 0.0000  2 S 2.77
3 I 0.5000 0.0000 0.0000  2 S 2.77
4 S 0.0000 0.0000 0.0000  6 I 2.77
5 Tc 0.5000 0.5000 0.5000  12 I 3.92

=====

Most stable structure - *two*; separation to the second - 0.873 eV/atom.

=====

*one*
The following is a PBE calculation of an optimized crystal structure of TcSI, from the Alexandria database.

Computed properties:
crystal system: monoclinic

Cell: 6.5838 3.7197 6.4426 Å, 90.00 91.08 90.00°
Last column: nearest neighbours and their distance in Å.
Fractional positions:
1 S 0.9379 0.0000 0.6953  3 Tc 2.29
2 S 0.9379 0.5000 0.1953  3 Tc 2.29
3 I 0.5204 0.0000 0.3536  3 Tc 2.91
4 I 0.5204 0.5000 0.8536  3 Tc 2.91
5 Tc 0.8185 0.0000 0.0263  3 S 2.29
6 Tc 0.8185 0.5000 0.5263  3 S 2.29

=====

*two*
The following is a PBE calculation of an optimized crystal structure of TcSI, from the Alexandria database.

Computed properties:
crystal system: triclinic

Cell: 3.5498 6.2074 7.1857 Å, 94.04 91.10 90.01°
Last column: nearest neighbours and their distance in Å.
Fractional positions:
1 S 0.7417 0.9088 0.7847  3 Tc 2.28-2.35
2 S 0.2583 0.0912 0.2153  3 Tc 2.28-2.35
3 I 0.7585 0.5877 0.2197  3 Tc 2.84-2.93
4 I 0.2415 0.4123 0.7803  3 Tc 2.84-2.93
5 Tc 0.2492 0.8236 0.9801  3 S 2.28-2.35
6 Tc 0.7508 0.1764 0.0199  3 S 2.28-2.35

=====

Most stable structure - *two*; separation to the second - 0.202 eV/atom.

=====

*one*
The following is a PBE calculation of an optimized crystal structure of TcSI, from the Alexandria database.

Computed properties:
crystal system: monoclinic

Cell: 6.8646 3.2892 7.0376 Å, 90.00 93.00 90.00°
Last column: nearest neighbours and their distance in Å.
Fractional positions:
1 I 0.4713 0.0000 0.7510  1 Tc 2.59
2 I 0.4713 0.5000 0.2510  1 Tc 2.59
3 Tc 0.8495 0.5000 0.2720  3 S 2.26-2.27
4 Tc 0.8495 0.0000 0.7720  3 S 2.26-2.27
5 S 0.9560 0.5000 0.9739  3 Tc 2.26-2.27
6 S 0.9560 0.0000 0.4739  3 Tc 2.26-2.27

=====

*two*
The following is a PBE calculation of an optimized crystal structure of TcSI, from the Alexandria database.

Computed properties:
crystal system: monoclinic

Cell: 9.4010 3.6091 14.0735 Å, 90.00 130.76 90.00°
Last column: nearest neighbours and their distance in Å.
Fractional positions:
1 S 0.3495 0.5000 0.6274  3 Tc 2.30-2.32
2 S 0.3495 0.0000 0.1274  3 Tc 2.30-2.32
3 S 0.0436 0.5000 0.1646  3 Tc 2.25-2.36
4 S 0.0436 0.0000 0.6646  3 Tc 2.25-2.36
5 I 0.6396 0.5000 0.4503  1 Tc 2.60
6 I 0.9180 0.5000 0.8623  2 Tc 2.82
7 I 0.9180 0.0000 0.3623  2 Tc 2.82
8 I 0.6396 0.0000 0.9503  1 Tc 2.60
9 Tc 0.3279 0.0000 0.7185  3 S 2.25-2.30
10 Tc 0.0477 0.5000 0.5578  3 S 2.32-2.36
11 Tc 0.3279 0.5000 0.2185  3 S 2.25-2.30
12 Tc 0.0477 0.0000 0.0578  3 S 2.32-2.36

=====

Most stable structure - *two*; separation to the second - 0.242 eV/atom.

=====

*one*
The following is a PBE calculation of an optimized crystal structure of TcSI2, from the Alexandria database.

Computed properties:
crystal system: tetragonal

Cell: 7.1105 7.1105 6.8821 Å, 58.90 58.90 90.00°
Last column: nearest neighbours and their distance in Å.
Fractional positions:
1 I 0.6726 0.1250 0.2500  2 Tc 2.57
2 I 0.0774 0.6250 0.2500  2 Tc 2.57
3 I 0.8750 0.9226 0.7500  2 Tc 2.57
4 I 0.3750 0.3274 0.7500  2 Tc 2.57
5 S 0.2500 0.7500 0.5000  4 I 3.00
6 S 0.5000 0.5000 0.0000  4 I 3.00
7 Tc 0.7500 0.2500 0.5000  4 I 2.57
8 Tc 0.0000 0.0000 0.0000  4 I 2.57

=====

*two*
The following is a PBE calculation of an optimized crystal structure of TcSI2, from the Alexandria database.

Computed properties:
crystal system: cubic

Cell: 4.9686 4.9686 4.9686 Å, 60.00 60.00 60.00°
Last column: nearest neighbours and their distance in Å.
Fractional positions:
1 S 0.0000 0.0000 0.0000  8 I 3.04
2 Tc 0.5000 0.5000 0.5000  8 I 3.04
3 I 0.7500 0.7500 0.7500  4 S 3.04, 4 Tc 3.04
4 I 0.2500 0.2500 0.2500  4 S 3.04, 4 Tc 3.04

=====

Most stable structure - *one*; separation to the second - 0.251 eV/atom.

=====

*one*
The following is a PBE calculation of an optimized crystal structure of TcTeSI2, from the Alexandria database.

Computed properties:
crystal system: tetragonal

Cell: 5.3861 5.3861 5.1345 Å, 90.00 90.00 90.00°
Last column: nearest neighbours and their distance in Å.
Fractional positions:
1 I 0.0000 0.5000 0.0000  2 Tc 2.69
2 I 0.5000 0.0000 0.0000  2 Tc 2.69
3 Tc 0.0000 0.0000 0.0000  2 Te 2.57, 4 I 2.69
4 Te 0.0000 0.0000 0.5000  2 Tc 2.57
5 S 0.5000 0.5000 0.5000  8 I 3.72, 4 Te 3.81

=====

*two*
The following is a PBE calculation of an optimized crystal structure of TcTeSI2, from the Alexandria database.

Computed properties:
crystal system: tetragonal

Cell: 5.4706 5.4706 5.3801 Å, 90.00 90.00 90.00°
Last column: nearest neighbours and their distance in Å.
Fractional positions:
1 Tc 0.5000 0.5000 0.5000  8 I 3.84, 4 Te 3.87
2 Te 0.0000 0.0000 0.5000  2 S 2.69
3 S 0.0000 0.0000 0.0000  2 Te 2.69, 4 I 2.74
4 I 0.0000 0.5000 0.0000  2 S 2.74
5 I 0.5000 0.0000 0.0000  2 S 2.74

=====

Most stable structure - *one*; separation to the second - 0.377 eV/atom.

=====

*one*
The following is a PBE calculation of an optimized crystal structure of TeS3I, from the Alexandria database.

Computed properties:
crystal system: monoclinic

Cell: 9.2213 7.4701 12.3556 Å, 90.00 90.00 154.92°
Last column: nearest neighbours and their distance in Å.
Fractional positions:
1 S 0.8055 0.9940 0.2500  1 Te 2.34
2 S 0.1945 0.0060 0.7500  1 Te 2.34
3 S 0.7209 0.8015 0.9822  1 S 1.96
4 S 0.2791 0.1985 0.4822  1 S 1.96
5 S 0.7209 0.8015 0.5178  1 S 1.96
6 S 0.2791 0.1985 0.0178  1 S 1.96
7 Te 0.7040 0.7413 0.7500  1 S 2.34
8 Te 0.2960 0.2587 0.2500  1 S 2.34
9 I 0.4159 0.7850 0.7500  1 Te 2.96
10 I 0.5841 0.2150 0.2500  1 Te 2.96

=====

*two*
The following is a PBE calculation of an optimized crystal structure of TeS3I, from the Alexandria database.

Computed properties:
crystal system: cubic

Cell: 5.1050 5.1050 5.1050 Å, 90.00 90.00 90.00°
Last column: nearest neighbours and their distance in Å.
Fractional positions:
1 S 0.0000 0.0000 0.5000  2 Te 2.55
2 S 0.5000 0.0000 0.0000  2 Te 2.55
3 S 0.0000 0.5000 0.0000  2 Te 2.55
4 Te 0.0000 0.0000 0.0000  6 S 2.55
5 I 0.5000 0.5000 0.5000  12 S 3.61

=====

Most stable structure - *one*; separation to the second - 0.615 eV/atom.

=====

*one*
The following is a PBE calculation of an optimized crystal structure of TiTeSI2, from the Alexandria database.

Computed properties:
crystal system: tetragonal

Cell: 5.4635 5.4635 5.2810 Å, 90.00 90.00 90.00°
Last column: nearest neighbours and their distance in Å.
Fractional positions:
1 Te 0.0000 0.0000 0.5000  2 S 2.64
2 S 0.0000 0.0000 0.0000  2 Te 2.64, 4 I 2.73
3 I 0.0000 0.5000 0.0000  2 S 2.73
4 I 0.5000 0.0000 0.0000  2 S 2.73
5 Ti 0.5000 0.5000 0.5000  8 I 3.80, 4 Te 3.86

=====

*two*
The following is a PBE calculation of an optimized crystal structure of TiTeSI2, from the Alexandria database.

Computed properties:
crystal system: tetragonal

Cell: 5.2971 5.2971 5.5347 Å, 90.00 90.00 90.00°
Last column: nearest neighbours and their distance in Å.
Fractional positions:
1 Te 0.0000 0.0000 0.5000  2 Ti 2.77
2 I 0.0000 0.5000 0.0000  2 Ti 2.65
3 I 0.5000 0.0000 0.0000  2 Ti 2.65
4 Ti 0.0000 0.0000 0.0000  4 I 2.65, 2 Te 2.77
5 S 0.5000 0.5000 0.5000  4 Te 3.75, 8 I 3.83

=====

Most stable structure - *two*; separation to the second - 0.519 eV/atom.

=====

*one*
The following is a PBE calculation of an optimized crystal structure of TeWSI2, from the Alexandria database.

Computed properties:
crystal system: tetragonal

Cell: 5.3637 5.3637 5.2785 Å, 90.00 90.00 90.00°
Last column: nearest neighbours and their distance in Å.
Fractional positions:
1 S 0.5000 0.5000 0.5000  8 I 3.76, 4 Te 3.79
2 Te 0.0000 0.0000 0.5000  2 W 2.64
3 W 0.0000 0.0000 0.0000  2 Te 2.64, 4 I 2.68
4 I 0.5000 0.0000 0.0000  2 W 2.68
5 I 0.0000 0.5000 0.0000  2 W 2.68

=====

*two*
The following is a PBE calculation of an optimized crystal structure of TeWSI2, from the Alexandria database.

Computed properties:
crystal system: tetragonal

Cell: 5.4006 5.4006 5.3742 Å, 90.00 90.00 90.00°
Last column: nearest neighbours and their distance in Å.
Fractional positions:
1 I 0.5000 0.0000 0.0000  2 S 2.70
2 I 0.0000 0.5000 0.0000  2 S 2.70
3 Te 0.0000 0.0000 0.5000  2 S 2.69
4 S 0.0000 0.0000 0.0000  2 Te 2.69, 4 I 2.70
5 W 0.5000 0.5000 0.5000  8 I 3.81, 4 Te 3.82

=====

Most stable structure - *one*; separation to the second - 0.653 eV/atom.

=====

*one*
The following is a PBE calculation of an optimized crystal structure of Te2WSI, from the Alexandria database.

Computed properties:
crystal system: tetragonal

Cell: 5.2543 5.2543 5.3632 Å, 90.00 90.00 90.00°
Last column: nearest neighbours and their distance in Å.
Fractional positions:
1 W 0.0000 0.0000 0.0000  4 Te 2.63, 2 I 2.68
2 I 0.0000 0.0000 0.5000  2 W 2.68
3 Te 0.0000 0.5000 0.0000  2 W 2.63
4 Te 0.5000 0.0000 0.0000  2 W 2.63
5 S 0.5000 0.5000 0.5000  4 I 3.72, 8 Te 3.75

=====

*two*
The following is a PBE calculation of an optimized crystal structure of Te2WSI, from the Alexandria database.

Computed properties:
crystal system: tetragonal

Cell: 5.1973 5.1973 5.4209 Å, 90.00 90.00 90.00°
Last column: nearest neighbours and their distance in Å.
Fractional positions:
1 W 0.5000 0.5000 0.5000  4 I 3.68, 8 Te 3.75
2 I 0.0000 0.0000 0.5000  2 S 2.71
3 S 0.0000 0.0000 0.0000  4 Te 2.60, 2 I 2.71
4 Te 0.0000 0.5000 0.0000  2 S 2.60
5 Te 0.5000 0.0000 0.0000  2 S 2.60

=====

Most stable structure - *one*; separation to the second - 0.644 eV/atom.

=====

*one*
The following is a PBE calculation of an optimized crystal structure of YTe2SI, from the Alexandria database.

Computed properties:
crystal system: tetragonal

Cell: 5.2839 5.2839 5.4302 Å, 90.00 90.00 90.00°
Last column: nearest neighbours and their distance in Å.
Fractional positions:
1 I 0.0000 0.0000 0.5000  2 S 2.72
2 S 0.0000 0.0000 0.0000  4 Te 2.64, 2 I 2.72
3 Y 0.5000 0.5000 0.5000  4 I 3.74, 8 Te 3.79
4 Te 0.5000 0.0000 0.0000  2 S 2.64
5 Te 0.0000 0.5000 0.0000  2 S 2.64

=====

*two*
The following is a PBE calculation of an optimized crystal structure of YTe2SI, from the Alexandria database.

Computed properties:
crystal system: tetragonal

Cell: 5.9430 5.9430 5.9396 Å, 90.00 90.00 90.00°
Last column: nearest neighbours and their distance in Å.
Fractional positions:
1 Y 0.0000 0.0000 0.0000  2 I 2.97, 4 Te 2.97
2 Te 0.5000 0.0000 0.0000  2 Y 2.97
3 Te 0.0000 0.5000 0.0000  2 Y 2.97
4 I 0.0000 0.0000 0.5000  2 Y 2.97
5 S 0.5000 0.5000 0.5000  8 Te 4.20, 4 I 4.20

=====

Most stable structure - *one*; separation to the second - 0.167 eV/atom.

=====

*one*
The following is a PBE calculation of an optimized crystal structure of Ti2SI, from the Alexandria database.

Computed properties:
crystal system: tetragonal

Cell: 5.2411 5.2411 8.0352 Å, 70.97 70.97 90.00°
Last column: nearest neighbours and their distance in Å.
Fractional positions:
1 I 0.7500 0.2500 0.5000  4 Ti 2.84
2 I 0.0000 0.0000 0.0000  4 Ti 2.84
3 Ti 0.8750 0.7860 0.7500  2 S 2.37
4 Ti 0.3750 0.4640 0.7500  2 S 2.37
5 Ti 0.2140 0.6250 0.2500  2 S 2.37
6 Ti 0.5360 0.1250 0.2500  2 S 2.37
7 S 0.2500 0.7500 0.5000  4 Ti 2.37
8 S 0.5000 0.5000 0.0000  4 Ti 2.37

=====

*two*
The following is a PBE calculation of an optimized crystal structure of Ti2SI, from the Alexandria database.

Computed properties:
crystal system: cubic

Cell: 4.6292 4.6292 4.6292 Å, 60.00 60.00 60.00°
Last column: nearest neighbours and their distance in Å.
Fractional positions:
1 Ti 0.7500 0.7500 0.7500  4 S 2.83, 4 I 2.83
2 Ti 0.2500 0.2500 0.2500  4 S 2.83, 4 I 2.83
3 I 0.5000 0.5000 0.5000  8 Ti 2.83
4 S 0.0000 0.0000 0.0000  8 Ti 2.83

=====

Most stable structure - *one*; separation to the second - 0.020 eV/atom.